(1)
Computed, not measured: a relaxed Pm2Er2Th crystal at the PBE level of DFT.

Values from the calculation:
Symmetry: P2/m
Energy of formation (meV/atom): 53
DOS at the Fermi energy (states/eV per cell): 6.33
Polymorph energy (0 for the lowest one) (meV/atom): 39

Lattice parameters (Å, degrees): 5.3738 3.5240 8.9171 90.00 107.47 90.00
Fractional coordinates of all 5 atoms:
Pm 0.1981 0.0000 0.3962
Pm 0.8019 0.0000 0.6038
Er 0.3973 0.5000 0.7942
Er 0.6027 0.5000 0.2058
Th 0.0000 0.0000 0.0000

---

(2)
Computed, not measured: a relaxed Pm3Er8Th3 crystal at the PBE level of DFT.

Values from the calculation:
Symmetry: Immm
Energy of formation (meV/atom): 155
DOS at the Fermi energy (states/eV per cell): 20.14

Lattice parameters (Å, degrees): 9.6347 9.6347 9.6347 146.08 112.61 77.62
Fractional coordinates of all 14 atoms:
Pm 0.0000 0.0000 0.0000
Pm 0.3084 0.0000 0.3084
Pm 0.6916 0.0000 0.6916
Er 0.0558 0.3964 0.6595
Er 0.0660 0.2242 0.8418
Er 0.2631 0.6036 0.6595
Er 0.3825 0.2242 0.1582
Er 0.6175 0.7758 0.8418
Er 0.7369 0.3964 0.3405
Er 0.9340 0.7758 0.1582
Er 0.9442 0.6036 0.3405
Th 0.3135 0.8135 0.5000
Th 0.5000 0.5000 0.0000
Th 0.6865 0.1865 0.5000

---

(3)
Computed, not measured: a relaxed Pm3Er3Th2 crystal at the PBE level of DFT.

Values from the calculation:
Symmetry: P-1
Energy of formation (meV/atom): 41
DOS at the Fermi energy (states/eV per cell): 11.79
Polymorph energy (0 for the lowest one) (meV/atom): 11

Lattice parameters (Å, degrees): 6.1825 6.1959 8.0154 105.00 105.02 109.19
Fractional coordinates of all 8 atoms:
Pm 0.0000 0.0000 0.0000
Pm 0.1306 0.6304 0.2611
Pm 0.8694 0.3696 0.7389
Er 0.3735 0.8734 0.7470
Er 0.5000 0.5000 0.0000
Er 0.6265 0.1266 0.2530
Th 0.2525 0.2523 0.5050
Th 0.7475 0.7477 0.4950

---

(4)
Computed, not measured: a relaxed Pm7Er4Th crystal at the PBE level of DFT.

Values from the calculation:
Symmetry: P-1
Energy of formation (meV/atom): 12
DOS at the Fermi energy (states/eV per cell): 16.10

Lattice parameters (Å, degrees): 6.2817 7.2495 8.9423 90.11 103.70 90.02
Fractional coordinates of all 12 atoms:
Pm 0.0000 0.0000 0.0000
Pm 0.2197 0.4999 0.6700
Pm 0.2773 0.2508 0.3327
Pm 0.4995 0.2521 0.9983
Pm 0.5005 0.7479 0.0017
Pm 0.7227 0.7492 0.6673
Pm 0.7803 0.5001 0.3300
Er 0.2192 0.0001 0.6625
Er 0.2748 0.7515 0.3311
Er 0.7252 0.2485 0.6689
Er 0.7808 0.9999 0.3375
Th 0.0000 0.5000 0.0000

---

(5)
Computed, not measured: a relaxed Pm2Er5Th4 crystal at the PBE level of DFT.

Values from the calculation:
Symmetry: C2/m
Energy of formation (meV/atom): 31
DOS at the Fermi energy (states/eV per cell): 12.24
Polymorph energy (0 for the lowest one) (meV/atom): 0

Lattice parameters (Å, degrees): 11.8476 11.8476 8.6926 104.88 104.88 17.34
Fractional coordinates of all 11 atoms:
Pm 0.2288 0.2288 0.3194
Pm 0.7712 0.7712 0.6806
Er 0.3213 0.3213 0.0569
Er 0.4118 0.4118 0.7781
Er 0.5000 0.5000 0.5000
Er 0.5882 0.5882 0.2219
Er 0.6787 0.6787 0.9431
Th 0.0455 0.0455 0.8634
Th 0.1343 0.1343 0.5898
Th 0.8657 0.8657 0.4102
Th 0.9545 0.9545 0.1366

---

(6)
Computed, not measured: a relaxed Pm4Er5Th2 crystal at the PBE level of DFT.

Values from the calculation:
Symmetry: P-1
Energy of formation (meV/atom): 74
DOS at the Fermi energy (states/eV per cell): 17.64
Polymorph energy (0 for the lowest one) (meV/atom): 0

Lattice parameters (Å, degrees): 3.5039 8.8724 11.7830 84.69 89.72 78.95
Fractional coordinates of all 11 atoms:
Pm 0.0754 0.2734 0.1706
Pm 0.3616 0.8027 0.5345
Pm 0.6384 0.1973 0.4655
Pm 0.9246 0.7266 0.8294
Er 0.0242 0.4541 0.6387
Er 0.1714 0.0875 0.7345
Er 0.5000 0.0000 0.0000
Er 0.8286 0.9125 0.2655
Er 0.9758 0.5459 0.3613
Th 0.4282 0.6348 0.1078
Th 0.5718 0.3652 0.8922

---

(7)
Computed, not measured: a relaxed Pm7ErTh3 crystal at the PBE level of DFT.

Values from the calculation:
Symmetry: P-1
Energy of formation (meV/atom): 167
DOS at the Fermi energy (states/eV per cell): 16.99

Lattice parameters (Å, degrees): 6.5132 6.7987 8.8197 101.59 97.47 97.55
Fractional coordinates of all 11 atoms:
Pm 0.0000 0.0000 0.0000
Pm 0.0734 0.7165 0.6451
Pm 0.1978 0.2299 0.7019
Pm 0.4927 0.7297 0.9241
Pm 0.5073 0.2703 0.0759
Pm 0.8022 0.7701 0.2981
Pm 0.9266 0.2835 0.3549
Er 0.0000 0.5000 0.0000
Th 0.3337 0.9473 0.3346
Th 0.5000 0.5000 0.5000
Th 0.6663 0.0527 0.6654

---

(8)
Computed, not measured: a relaxed PmEr9Th2 crystal at the PBE level of DFT.

Values from the calculation:
Symmetry: P6/mmm
Energy of formation (meV/atom): 103
DOS at the Fermi energy (states/eV per cell): 21.95
Polymorph energy (0 for the lowest one) (meV/atom): 72

Lattice parameters (Å, degrees): 11.2711 11.2711 3.4883 90.00 90.00 120.00
Fractional coordinates of all 12 atoms:
Pm 0.0000 0.0000 0.0000
Er 0.0000 0.5000 0.0000
Er 0.1754 0.3508 0.5000
Er 0.1754 0.8246 0.5000
Er 0.3508 0.1754 0.5000
Er 0.5000 0.0000 0.0000
Er 0.5000 0.5000 0.0000
Er 0.6492 0.8246 0.5000
Er 0.8246 0.1754 0.5000
Er 0.8246 0.6492 0.5000
Th 0.3333 0.6667 0.0000
Th 0.6667 0.3333 0.0000